1.
Density functional theory data (GGA-PBE) for a relaxed CaMn3In crystal.

## Properties
Energy of formation from the pure elements (eV per atom): 1.6014
Space-group type: No. 221

Lattice parameters (Å, degrees): 4.9728 4.9728 4.9728 90.00 90.00 90.00
Each line ends with the local moment (μB).
Element x y z (fractional)
In  0.5000  0.5000  0.5000  -0.01
Mn  0.0000  0.0000  0.5000  3.48
Mn  0.0000  0.5000  0.0000  3.69
Ca  0.0000  0.0000  0.0000  -0.15
Mn  0.5000  0.0000  0.0000  4.01

=====

2.
Density functional theory data (GGA-PBE) for a relaxed ZrScCl2 crystal.

## Properties
ΔE_f (raw) (meV/atom): -664
Space-group type: No. 123

Lattice parameters (Å, degrees): 3.0952 3.0952 11.6490 90.00 90.00 90.00
Each line ends with the local moment (μB).
Element x y z (fractional)
Cl  0.0000  0.0000  0.1172  0.00
Cl  0.0000  0.0000  0.3828  0.00
Sc  0.5000  0.5000  0.2500  0.01
Zr  0.5000  0.5000  0.7500  0.42

=====

3.
Density functional theory data (GGA-PBE) for a relaxed Li3PrSb2 crystal.

## Properties
ΔE_f (raw) (meV/atom): -844
Space-group type: No. 164

Lattice parameters (Å, degrees): 4.6171 4.6171 7.3721 90.00 90.00 120.00
Element x y z (fractional)
Li  0.3333  0.6667  0.6466
Sb  0.6667  0.3333  0.7428
Sb  0.3333  0.6667  0.2572
Li  0.6667  0.3333  0.3534
Li  0.0000  0.0000  0.5000
Pr  0.0000  0.0000  0.0000

=====

4.
Density functional theory data (GGA-PBE) for a relaxed Li2Mg4Zn crystal.

## Properties
Energy of formation from the pure elements (eV per atom): 0.0247
Space-group type: No. 139

Lattice parameters (Å, degrees): 7.3059 5.7810 5.7810 66.48 50.81 50.81
Element x y z (fractional)
Mg  0.0000  0.0000  0.5000
Mg  0.0000  0.5000  0.0000
Zn  0.0000  0.0000  0.0000
Mg  0.5000  0.0000  0.5000
Li  0.0000  0.5000  0.5000
Mg  0.5000  0.5000  0.0000
Li  0.5000  0.5000  0.5000

=====

5.
Density functional theory data (GGA-PBE) for a relaxed Ac2LaNd2 crystal.

## Properties
Energy of formation from the pure elements (eV per atom): 0.0294
Space-group type: No. 65

Lattice parameters (Å, degrees): 3.7822 5.8248 9.3929 108.06 90.00 90.00
Element x y z (fractional)
Ac  0.5000  0.6100  0.2200
Nd  0.0000  0.8010  0.6020
Ac  0.5000  0.3900  0.7800
La  0.0000  0.0000  0.0000
Nd  0.0000  0.1990  0.3980

=====

6.
Density functional theory data (GGA-PBE) for a relaxed YOs2Br crystal.

## Properties
ΔE_f (raw) (meV/atom): 930
Space-group type: No. 122

Lattice parameters (Å, degrees): 7.8684 7.8684 6.1418 50.17 50.17 90.00
Element x y z (fractional)
Os  0.1686  0.6250  0.2500
Os  0.3750  0.4186  0.7500
Y  0.7500  0.2500  0.5000
Br  0.5000  0.5000  0.0000
Br  0.2500  0.7500  0.5000
Y  0.0000  0.0000  0.0000
Os  0.5814  0.1250  0.2500
Os  0.8750  0.8314  0.7500

=====

7.
Density functional theory data (GGA-PBE) for a relaxed Th6Tc2Bi crystal.

## Properties
Energy of formation from the pure elements (eV per atom): -0.1408
Space-group type: No. 12

Lattice parameters (Å, degrees): 4.7138 6.3898 9.7936 70.34 90.00 111.64
Element x y z (fractional)
Th  0.9790  0.9580  0.8539
Th  0.6714  0.3429  0.6242
Th  0.2992  0.5984  0.8251
Tc  0.6346  0.2693  0.9079
Th  0.0210  0.0420  0.1461
Th  0.3286  0.6571  0.3758
Tc  0.3654  0.7307  0.0921
Bi  0.0000  0.0000  0.5000
Th  0.7008  0.4016  0.1749

=====

8.
Density functional theory data (GGA-PBE) for a relaxed Pm2PrSmP4 crystal.

## Properties
Energy of formation from the pure elements (eV per atom): -1.5521
Space-group type: No. 10

Lattice parameters (Å, degrees): 4.1467 7.1760 7.1762 70.55 90.00 90.00
Element x y z (fractional)
P  0.5000  0.2495  0.7477
P  0.0000  0.7523  0.7467
Pr  0.5000  0.5000  0.0000
Pm  0.0000  0.0000  0.0000
Pm  0.5000  0.0000  0.5000
P  0.0000  0.2477  0.2533
Sm  0.0000  0.5000  0.5000
P  0.5000  0.7505  0.2523

=====

9.
Density functional theory data (GGA-PBE) for a relaxed Ce2PaCuN4 crystal.

## Properties
ΔE_f (raw) (meV/atom): -725
Space-group type: No. 121

Lattice parameters (Å, degrees): 5.8864 5.1689 5.1689 71.08 55.29 55.29
Each line ends with the local moment (μB).
Element x y z (fractional)
Ce  0.5000  0.5000  0.5000  0.50
N  0.4711  0.6165  0.0000  -0.03
Cu  0.5000  0.0000  0.0000  -0.02
Pa  0.0000  0.0000  0.0000  0.26
N  0.9124  0.0000  0.6165  -0.03
N  0.5289  0.0000  0.3835  -0.03
Ce  0.0000  0.5000  0.5000  0.50
N  0.0876  0.3835  0.0000  -0.03

=====

10.
Density functional theory data (GGA-PBE) for a relaxed Sc5AsSe4 crystal.

## Properties
ΔE_f (raw) (meV/atom): -1579
Space-group type: No. 71

Lattice parameters (Å, degrees): 3.8754 5.4638 10.2764 105.42 100.87 90.00
Element x y z (fractional)
Sc  0.0000  0.5000  0.0000
As  0.0000  0.0000  0.0000
Sc  0.5957  0.0957  0.1915
Sc  0.7993  0.2993  0.5985
Se  0.8009  0.8009  0.6018
Se  0.1991  0.1991  0.3982
Sc  0.4043  0.9043  0.8085
Se  0.6008  0.6008  0.2016
Sc  0.2007  0.7007  0.4015
Se  0.3992  0.3992  0.7984

=====

So what do the calculations give for spin magnetization? Going down the list: 11.447 0.824 0.000 0.000 0.000 0.000 0.000 0.000 1.272 0.000 μB per formula unit.
So what do the calculations give for DOS(E_F)? Going down the list: 1.18 0.84 0.08 0.57 1.51 0.97 0.97 0.08 0.84 0.47 states/eV per atom.